(1)
DFT (GGA-PBE) results for an optimized crystal structure of SrZnB4.

Calculated values
crystal system: orthorhombic
ΔE to the lowest computed polymorph: 27 meV/atom
space group: Immm (71)
volume: 72.0 Å³ per cell

POSCAR file:
```
SrZnB4
1.0
-1.557 2.695 4.290
1.557 -2.695 4.290
1.557 2.695 -4.290
B Sr Zn
4 1 1
direct
0.581 0.250 0.331 B
0.080 0.750 0.331 B
0.920 0.250 0.669 B
0.419 0.750 0.669 B
0.000 0.000 0.000 Sr
0.500 0.500 0.000 Zn
```

(2)
DFT (GGA-PBE) results for an optimized crystal structure of SrZn2B2.

Calculated values
crystal system: tetragonal
total DFT energy (no corrections): -31.0 eV for the cell shown
space group: I4/mmm (139)
volume: 148.6 Å³ per cell

POSCAR file:
```
SrZn2B2
1.0
-1.959 1.959 9.687
1.959 -1.959 9.687
1.959 1.959 -9.687
B Sr Zn
4 2 4
direct
0.186 0.186 0.000 B
0.814 0.814 0.000 B
0.500 0.000 0.500 B
0.000 0.500 0.500 B
0.377 0.377 0.000 Sr
0.623 0.623 0.000 Sr
0.065 0.065 0.000 Zn
0.935 0.935 0.000 Zn
0.750 0.250 0.500 Zn
0.250 0.750 0.500 Zn
```

Results for ρ: 4.53 5.36 (in Mg/m³, following the order of the records).